This record from the Alexandria database describes crystalline LaDy6In2 at its relaxed geometry. The functional is GGA-PBE.

Cell lengths 6.228, 6.228, 8.820 Å; angles 110.67, 110.67, 90.00 degrees
Each line ends with the local moment (μB).
Positions (direct):
La 0.500 0.500 0.000  0.09
Dy 0.903 0.267 0.170  0.08
Dy 0.733 0.733 0.830  0.08
Dy 0.267 0.903 0.170  0.08
Dy 0.097 0.097 0.830  0.08
Dy 0.750 0.250 0.500  0.04
Dy 0.250 0.750 0.500  0.04
In 0.281 0.281 0.563  0.01
In 0.719 0.719 0.437  0.01

## Properties
SG: I-42m, No. 121
DOS at the Fermi energy: 15.63 states/eV per cell
M_tot: 0.63 μB/cell
DFT formation energy: 0.278 eV/atom


This record from the Alexandria database describes crystalline Ac2LaTlRh at its relaxed geometry. The functional is GGA-PBE.

Cell lengths 4.948, 8.633, 8.456 Å; angles 112.26, 90.00, 90.00 degrees
Positions (direct):
Ac 0.750 0.915 0.670
Ac 0.750 0.740 0.042
Ac 0.250 0.085 0.330
Ac 0.250 0.260 0.958
La 0.250 0.577 0.669
La 0.750 0.423 0.331
Tl 0.250 0.682 0.320
Tl 0.750 0.318 0.680
Rh 0.250 0.886 0.907
Rh 0.750 0.114 0.093

## Properties
SG: P2_1/m, No. 11
DOS at the Fermi energy: 9.40 states/eV per cell
M_tot: 0.00 μB/cell
DFT formation energy: -0.466 eV/atom


This record from the Alexandria database describes crystalline Na3SbAu8 at its relaxed geometry. The functional is GGA-PBE.

Cell lengths 5.603, 5.603, 9.814 Å; angles 73.41, 73.41, 60.00 degrees
Positions (direct):
Na 0.374 0.374 0.878
Na 0.001 0.001 0.998
Na 0.501 0.501 0.498
Sb 0.881 0.881 0.356
Au 0.937 0.437 0.188
Au 0.437 0.936 0.691
Au 0.437 0.437 0.188
Au 0.936 0.936 0.691
Au 0.186 0.186 0.443
Au 0.687 0.687 0.940
Au 0.437 0.937 0.188
Au 0.936 0.437 0.691

## Properties
SG: R3m, No. 160
DOS at the Fermi energy: 2.69 states/eV per cell
M_tot: 0.00 μB/cell
ΔE_f (raw): -256 meV/atom